# 1
Here is a PBEsol-optimized structure of BaSiNi from the Alexandria database. Energies are from meta-GGA SCAN.

Cell: 3.9794 3.9794 5.0131 Å, 90.00 90.00 120.00°
Space group P-6m2 (No. 187)
Unique sites:
Ba: 0.0000 0.0000 0.0000 [1 per cell]
Si: 0.6667 0.3333 0.5000 [1 per cell]
Ni: 0.3333 0.6667 0.5000 [1 per cell]

Spin magnetization   0.000 μB/cell
E   -66.55 eV/cell
Formation energy without anion corrections   -270 meV per atom

# 2
Here is a PBEsol-optimized structure of BaNi3Sn from the Alexandria database. Energies are from meta-GGA SCAN.

Cell: 4.832 4.832 4.832 Å, 90.00 90.00 90.00°
Space group Pm-3m (No. 221)
Unique sites:
Ba: 0.000 0.000 0.000 [1 per cell]
Ni: 0.000 0.000 0.500 [3 per cell]
Sn: 0.500 0.500 0.500 [1 per cell]

Spin magnetization   0.000 μB/cell
E   -115.18 eV/cell
Formation energy   1.7620 eV per atom
Excess energy over the best structure of this formula in the dataset   1371 meV/atom

# 3
Here is a PBEsol-optimized structure of BaNiSn2 from the Alexandria database. Energies are from meta-GGA SCAN.

Cell: 7.339 7.339 7.339 Å, 90.00 90.00 90.00°
Space group Fm-3m (No. 225)
Unique sites:
Ba: 0.000 0.000 0.000 [4 per cell]
Ni: 0.000 0.000 0.500 [4 per cell]
Sn: 0.250 0.250 0.250 [8 per cell]

Spin magnetization   0.003 μB/cell
E   -507.29 eV/cell
Formation energy   0.1860 eV per atom

# 4
Here is a PBEsol-optimized structure of BaNiSn3 from the Alexandria database. Energies are from meta-GGA SCAN.

Cell: 4.791 4.791 10.849 Å, 90.00 90.00 90.00°
Space group I4mm (No. 107)
Unique sites:
Ba: 0.000 0.000 0.000 [2 per cell]
Ni: 0.000 0.000 0.341 [2 per cell]
Sn: 0.000 0.000 0.573 [2 per cell]
Sn: 0.000 0.500 0.252 [4 per cell]

Spin magnetization   0.000 μB/cell
E   -332.08 eV/cell
Formation energy   -0.5107 eV per atom

# 5
Here is a PBEsol-optimized structure of BaNi3Sn from the Alexandria database. Energies are from meta-GGA SCAN.

Cell: 4.776 4.776 4.776 Å, 90.00 90.00 90.00°
Space group Pm-3m (No. 221)
Unique sites:
Ba: 0.000 0.000 0.000 [1 per cell]
Ni: 0.000 0.500 0.500 [3 per cell]
Sn: 0.500 0.500 0.500 [1 per cell]

Spin magnetization   1.679 μB/cell
E   -122.04 eV/cell
Formation energy   0.3911 eV per atom
Excess energy over the best structure of this formula in the dataset   0 meV/atom

# 6
Here is a PBEsol-optimized structure of BaSrNi2 from the Alexandria database. Energies are from meta-GGA SCAN.

Cell: 3.421 3.421 8.607 Å, 90.00 90.00 90.00°
Space group P4mm (No. 99)
Unique sites:
Ba: 0.000 0.000 0.000 [1 per cell]
Sr: 0.500 0.500 0.564 [1 per cell]
Ni: 0.000 0.000 0.321 [1 per cell]
Ni: 0.500 0.500 0.254 [1 per cell]

Spin magnetization   0.001 μB/cell
E   -92.65 eV/cell
Formation energy   0.3817 eV per atom
Excess energy over the best structure of this formula in the dataset   294 meV/atom